Density functional theory data (GGA+U) for crystalline Ca2MoO5 at its relaxed geometry.

abc: 8.9432 8.9432 8.9432
angles: 50.54 146.55 143.24
Atoms (fractional coordinates):
Ca 0.0651 0.1522 0.2173
Ca 0.0651 0.3478 0.4129
Ca 0.9349 0.6522 0.5871
Ca 0.9349 0.8478 0.7827
Mo 0.5336 0.0336 0.5000
Mo 0.5336 0.5336 0.0000
O 0.0295 0.0095 0.5200
O 0.0730 0.2543 0.7292
O 0.0730 0.8439 0.3187
O 0.4677 0.0126 0.2533
O 0.4677 0.7144 0.9551
O 0.4896 0.5095 0.4800
O 0.5251 0.3439 0.2708
O 0.5251 0.7543 0.6813
O 0.7593 0.2144 0.7467
O 0.7593 0.5126 0.0449

Values from the calculation:
- Spin magnetization: 0.444 μB per formula unit
- E above lowest polymorph: 0.1986 eV/atom
- Density: 3.62 Mg/m³
- Crystal system: orthorhombic
- Energy: -6.702 eV/atom
- DOS at the Fermi energy: 1.474 states/eV/cell